[1]
Material: GaBiTe
Method: DFT, GGA-PBE
State: optimized geometry

a = 4.254 Å, b = 6.064 Å, c = 9.417 Å
α = 98.79°, β = 90.12°, γ = 110.32°
Element x y z (fractional)
Ga: 0.000 0.000 0.000
Ga: 0.135 0.271 0.814
Bi: 0.649 0.298 0.423
Bi: 0.998 0.993 0.537
Te: 0.456 0.909 0.164
Te: 0.783 0.569 0.809

Calculated values
- ΔE_f (raw): -0.13 eV/atom
- SG: P1

---

[2]
Material: CrSbAu2
Method: DFT, GGA-PBE
State: optimized geometry

a = 3.715 Å, b = 3.715 Å, c = 5.669 Å
α = 90.00°, β = 90.00°, γ = 90.00°
Element x y z (fractional)
Cr: 0.000 0.000 0.000
Sb: 0.000 0.000 0.500
Au: 0.500 0.500 0.239
Au: 0.500 0.500 0.761

Calculated values
- ΔE_f (raw): 0.11 eV/atom
- D(E_F): 2.24 states/eV/cell
- SG: P4/mmm

---

[3]
Material: TlRu3Br
Method: DFT, GGA-PBE
State: optimized geometry

a = 4.596 Å, b = 4.596 Å, c = 4.596 Å
α = 90.00°, β = 90.00°, γ = 90.00°
Element x y z (fractional)
Tl: 0.000 0.000 0.000
Ru: 0.000 0.500 0.500
Ru: 0.500 0.000 0.500
Ru: 0.500 0.500 0.000
Br: 0.500 0.500 0.500

Calculated values
- ΔE_f (raw): 1.42 eV/atom
- D(E_F): 6.12 states/eV/cell
- SG: Pm-3m

---

[4]
Material: LiCaNpBr6
Method: DFT, GGA-PBE
State: optimized geometry

a = 7.139 Å, b = 7.139 Å, c = 13.026 Å
α = 90.00°, β = 90.00°, γ = 120.00°
Element x y z (fractional)
Li: 0.333 0.667 0.250
Li: 0.667 0.333 0.750
Ca: 0.000 0.000 0.000
Ca: 0.000 0.000 0.500
Np: 0.333 0.667 0.750
Np: 0.667 0.333 0.250
Br: 0.012 0.347 0.127
Br: 0.012 0.665 0.373
Br: 0.335 0.347 0.373
Br: 0.335 0.988 0.127
Br: 0.347 0.012 0.627
Br: 0.347 0.335 0.873
Br: 0.653 0.665 0.127
Br: 0.653 0.988 0.373
Br: 0.665 0.012 0.873
Br: 0.665 0.653 0.627
Br: 0.988 0.335 0.627
Br: 0.988 0.653 0.873

Calculated values
- ΔE_f (raw): -1.57 eV/atom
- D(E_F): 19.01 states/eV/cell
- SG: P-31c